Record 1
{
  "formula": "SrMgGa2Pt2",
  "functional": "PBE-GGA",
  "state": "optimized geometry",
  "dft_energy_ev_per_cell": -26.4,
  "vol_a3_per_atom": 20.7,
  "formation_energy_kj_per_mol_atoms": -81,
  "lattice_angstrom": [[4.409, 0.000, 0.000], [-2.205, 3.818, 0.000], [0.000, 0.000, 7.364]],
  "species": ["Pt", "Pt", "Ga", "Ga", "Sr", "Mg"],
  "frac_coords": [[0.667, 0.333, 0.316], [0.333, 0.667, 0.684], [0.667, 0.333, 0.692], [0.333, 0.667, 0.308], [0.000, 0.000, 0.000], [0.000, 0.000, 0.500]]
}

Record 2
{
  "formula": "TbTe3",
  "functional": "PBE-GGA",
  "state": "optimized geometry",
  "dft_energy_ev_per_cell": -15.9,
  "vol_a3_per_atom": 48.4,
  "formation_energy_uncorrected_mev_per_atom": -456,
  "lattice_angstrom": [[6.062, -0.554, 0.000], [-2.395, 5.596, 0.000], [0.000, 0.000, 5.942]],
  "species": ["Te", "Te", "Te", "Tb"],
  "frac_coords": [[0.000, 0.500, 0.000], [0.000, 0.000, 0.500], [0.500, 0.000, 0.000], [0.000, 0.000, 0.000]]
}

Record 3
{
  "formula": "PbSe2Br",
  "functional": "PBE-GGA",
  "state": "optimized geometry",
  "dft_energy_ev_per_cell": -23.8,
  "vol_a3_per_atom": 31.9,
  "formation_energy_uncorrected_mev_per_atom": 112,
  "lattice_angstrom": [[7.649, 0.000, 0.000], [0.000, 7.649, 0.000], [3.824, 3.824, 4.365]],
  "species": ["Se", "Se", "Se", "Se", "Pb", "Pb", "Br", "Br"],
  "frac_coords": [[0.096, 0.625, 0.250], [0.375, 0.346, 0.750], [0.654, 0.125, 0.250], [0.875, 0.904, 0.750], [0.750, 0.250, 0.500], [0.000, 0.000, 0.000], [0.250, 0.750, 0.500], [0.500, 0.500, 0.000]]
}

Record 4
{
  "formula": "Tm2Si3GePt4",
  "functional": "PBE-GGA",
  "state": "optimized geometry",
  "dft_energy_ev_per_cell": -64.0,
  "vol_a3_per_atom": 17.5,
  "formation_energy_uncorrected_mev_per_atom": -997,
  "lattice_angstrom": [[-2.586, -2.285, -2.353], [2.128, -3.449, 1.010], [-6.009, -1.382, 7.946]],
  "species": ["Si", "Si", "Si", "Tm", "Tm", "Pt", "Pt", "Pt", "Pt", "Ge"],
  "frac_coords": [[0.000, 0.000, 0.500], [0.500, 0.000, 0.868], [0.000, 0.500, 0.132], [0.500, 0.000, 0.245], [0.000, 0.500, 0.755], [0.500, 0.000, 0.634], [0.000, 0.000, 0.000], [0.000, 0.500, 0.366], [0.500, 0.500, 0.000], [0.500, 0.500, 0.500]]
}

Record 5
{
  "formula": "BaZr2IrRh",
  "functional": "PBE-GGA",
  "state": "optimized geometry",
  "dft_energy_ev_per_cell": -33.5,
  "vol_a3_per_atom": 26.0,
  "formation_energy_kj_per_mol_atoms": 34,
  "lattice_angstrom": [[4.962, 0.000, 0.000], [0.000, 5.288, 0.000], [0.000, 0.000, 4.962]],
  "species": ["Zr", "Zr", "Ba", "Rh", "Ir"],
  "frac_coords": [[0.500, 0.000, 0.000], [0.000, 0.000, 0.500], [0.500, 0.500, 0.500], [0.000, 0.000, 0.000], [0.000, 0.500, 0.000]]
}

Record 6
{
  "formula": "Ba2HgAu2",
  "functional": "PBE-GGA",
  "state": "optimized geometry",
  "dft_energy_ev_per_cell": -13.0,
  "vol_a3_per_atom": 32.5,
  "formation_energy_kj_per_mol_atoms": -45,
  "lattice_angstrom": [[-2.218, 0.027, 3.468], [-1.169, -3.881, -0.717], [5.916, -5.122, 6.267]],
  "species": ["Ba", "Ba", "Hg", "Au", "Au"],
  "frac_coords": [[0.612, 0.612, 0.776], [0.388, 0.388, 0.224], [0.000, 0.000, 0.000], [0.750, 0.250, 0.500], [0.250, 0.750, 0.500]]
}

Question: What is the formula in the sixth record?
Answer: Ba2HgAu2